BeFeB2 after structural relaxation, computed with PBE.

## Properties
The value obtained for the energy of formation from the pure elements is -0.06 eV per formula unit. Its total magnetization is 0.000 μB/f.u.

Lattice parameters (Å, degrees): 2.802 6.073 3.365 90.00 90.00 90.00
Space group Pmmn (No. 59, origin choice 2)
Asymmetric unit:
1 Be 0.250 0.250 0.175 x2
2 Fe 0.250 0.750 0.335 x2
3 B 0.250 0.509 0.815 x4